i.
Entry from the Alexandria database: FeP3 after structural relaxation (PBE).

Summary:
Magnetization in Bohr magnetons per cell: 0.00
V in A^3/atom: 16.031

Cell lengths 3.4015, 3.4015, 5.5420 Å; angles 90.00, 90.00, 90.00 degrees
With the nearest neighbours (Å) after each atom.
Element x y z (fractional)
1 Fe 0.0000 0.0000 0.0000  4 P 2.13
2 P 0.0000 0.5000 0.7683  2 Fe 2.13, 2 P 2.26
3 P 0.5000 0.0000 0.2317  2 Fe 2.13, 2 P 2.26
4 P 0.5000 0.5000 0.5000  4 P 2.26

---

ii.
Entry from the Alexandria database: FeP3 after structural relaxation (PBE).

Summary:
Magnetization in Bohr magnetons per cell: 0.00
V in A^3/atom: 16.708

Cell lengths 2.5428, 2.5428, 10.3359 Å; angles 90.00, 90.00, 90.00 degrees
With the nearest neighbours (Å) after each atom.
Element x y z (fractional)
1 Fe 0.0000 0.0000 0.0000  8 P 2.37, 4 Fe 2.54
2 P 0.0000 0.0000 0.5000  4 P 2.54
3 P 0.5000 0.5000 0.1488  4 Fe 2.37, 4 P 2.54
4 P 0.5000 0.5000 0.8512  4 Fe 2.37, 4 P 2.54

---

Which structure is most stable? i, by 0.300 eV/atom over the runner-up.